No. 1
Compound: Th2BePd2Pt4
Source: the Alexandria database
Functional: PBE
Structure: optimized geometry

a = 6.1884 Å, b = 6.1884 Å, c = 8.5417 Å
α = 90.00°, β = 90.00°, γ = 90.00°
Last column: nearest neighbours and their distance in Å.
Space group I4/mmm (No. 139)
Symmetry-distinct sites (fractional):
Th (0.0000, 0.5000, 0.2500) (multiplicity 4)  8 Pt 3.06, 4 Pd 3.10
Be (0.0000, 0.0000, 0.0000) (multiplicity 2)  4 Pt 2.27, 2 Pd 2.30
Pd (0.0000, 0.0000, 0.2698) (multiplicity 4)  1 Be 2.30
Pt (0.2402, 0.2402, 0.5000) (multiplicity 8)  1 Be 2.27

**Total moment**: 0.00 Bohr magnetons per cell
**Formation enthalpy at 0 K**: -22.5 kcal/mol of atoms

No. 2
Compound: Nd2DyErP4
Source: the Alexandria database
Functional: PBE
Structure: optimized geometry

a = 7.0598 Å, b = 4.0810 Å, c = 7.0647 Å
α = 90.00°, β = 109.48°, γ = 90.00°
Last column: nearest neighbours and their distance in Å.
Space group P2/m (No. 10)
Symmetry-distinct sites (fractional):
Nd (0.0000, 0.0000, 0.0000) (multiplicity 1)  6 P 2.92
Nd (0.0000, 0.5000, 0.5000) (multiplicity 1)  6 P 2.93
Dy (0.5000, 0.0000, 0.5000) (multiplicity 1)  6 P 2.85
Er (0.5000, 0.5000, 0.0000) (multiplicity 1)  6 P 2.84
P (0.2605, 0.5000, 0.2524) (multiplicity 2)  1 Er 2.84, 2 Dy 2.85, 3 Nd 2.92-2.93
P (0.2612, 0.0000, 0.7548) (multiplicity 2)  2 Er 2.84, 1 Dy 2.85, 3 Nd 2.92-2.93

**Total moment**: 0.00 Bohr magnetons per cell
**Formation enthalpy at 0 K**: -36.1 kcal/mol of atoms

No. 3
Compound: ZrCo3Si2
Source: the Alexandria database
Functional: PBE
Structure: optimized geometry

a = 14.8793 Å, b = 3.6682 Å, c = 9.0219 Å
α = 90.00°, β = 107.87°, γ = 90.00°
Last column: nearest neighbours and their distance in Å.
Space group C2/m (No. 12)
Symmetry-distinct sites (fractional):
Zr (0.0000, 0.0000, 0.0000) (multiplicity 2)  6 Co 2.80-2.91, 6 Si 2.81-2.89
Zr (0.1586, 0.0000, 0.6972) (multiplicity 4)  6 Si 2.81-2.88, 9 Co 2.91-3.13
Co (0.0000, 0.5000, 0.5000) (multiplicity 2)  4 Si 2.23-2.40
Co (0.0454, 0.0000, 0.3371) (multiplicity 4)  4 Si 2.27-2.34, 1 Co 2.42
Co (0.1207, 0.5000, 0.1989) (multiplicity 4)  4 Si 2.22-2.41, 1 Co 2.49
Co (0.1780, 0.5000, 0.9670) (multiplicity 4)  4 Si 2.27-2.32, 1 Co 2.49
Co (0.2151, 0.0000, 0.3923) (multiplicity 4)  4 Si 2.19-2.31, 1 Co 2.42
Si (0.0361, 0.5000, 0.7776) (multiplicity 4)  5 Co 2.27-2.41
Si (0.1388, 0.5000, 0.4529) (multiplicity 4)  7 Co 2.19-2.34
Si (0.1978, 0.0000, 0.1312) (multiplicity 4)  6 Co 2.28-2.34

**Total moment**: 0.00 Bohr magnetons per cell
**E_form (uncorrected)**: -0.6906 eV per atom

No. 4
Compound: Tb4Tl3Ga
Source: the Alexandria database
Functional: PBE
Structure: optimized geometry

a = 3.7052 Å, b = 3.7052 Å, c = 15.4124 Å
α = 90.00°, β = 90.00°, γ = 90.00°
Last column: nearest neighbours and their distance in Å.
Space group P4/mmm (No. 123)
Symmetry-distinct sites (fractional):
Tb (0.0000, 0.0000, 0.1123) (multiplicity 2)  4 Ga 3.14, 4 Tl 3.30, 1 Tb 3.46
Tb (0.0000, 0.0000, 0.3700) (multiplicity 2)  8 Tl 3.28-3.30
Tl (0.5000, 0.5000, 0.2420) (multiplicity 2)  8 Tb 3.28-3.30
Tl (0.5000, 0.5000, 0.5000) (multiplicity 1)  8 Tb 3.30
Ga (0.5000, 0.5000, 0.0000) (multiplicity 1)  8 Tb 3.14

**Total moment**: 0.00 Bohr magnetons per cell
**Formation enthalpy at 0 K**: -9.5 kcal/mol of atoms
**ΔE to the lowest computed polymorph**: 0.0 meV per atom

No. 5
Compound: Re2HOsW
Source: the Alexandria database
Functional: PBE
Structure: optimized geometry

a = 3.9530 Å, b = 3.9530 Å, c = 3.9954 Å
α = 90.00°, β = 90.00°, γ = 90.00°
Last column: nearest neighbours and their distance in Å.
Space group P4/mmm (No. 123)
Symmetry-distinct sites (fractional):
Re (0.0000, 0.5000, 0.0000) (multiplicity 2)  2 H 1.98
H (0.0000, 0.0000, 0.0000) (multiplicity 1)  4 Re 1.98, 2 W 2.00
Os (0.5000, 0.5000, 0.5000) (multiplicity 1)  4 W 2.80, 8 Re 2.81
W (0.0000, 0.0000, 0.5000) (multiplicity 1)  2 H 2.00

**Total moment**: 0.00 Bohr magnetons per cell
**ΔE to the lowest computed polymorph**: 5.6 meV per atom

No. 6
Compound: BaYMg
Source: the Alexandria database
Functional: PBE
Structure: optimized geometry

a = 8.0456 Å, b = 8.0456 Å, c = 8.0456 Å
α = 90.00°, β = 90.00°, γ = 90.00°
Last column: nearest neighbours and their distance in Å.
Space group F-43m (No. 216)
Symmetry-distinct sites (fractional):
Ba (0.0000, 0.0000, 0.0000) (multiplicity 4)  4 Mg 3.48
Y (0.0000, 0.0000, 0.5000) (multiplicity 4)  4 Mg 3.48
Mg (0.2500, 0.2500, 0.2500) (multiplicity 4)  4 Ba 3.48, 4 Y 3.48

**Total moment**: 0.00 Bohr magnetons per cell
**Formation enthalpy at 0 K**: 9.7 kcal/mol of atoms
**ΔE to the lowest computed polymorph**: 355.9 meV per atom

No. 7
Compound: Cr3CuSi
Source: the Alexandria database
Functional: PBE
Structure: optimized geometry

a = 4.4554 Å, b = 4.4554 Å, c = 4.4554 Å
α = 90.00°, β = 90.00°, γ = 90.00°
Last column: nearest neighbours and their distance in Å.
Space group Pm-3m (No. 221)
Symmetry-distinct sites (fractional):
Cr (0.0000, 0.0000, 0.5000) (multiplicity 3)  2 Cu 2.23
Cu (0.0000, 0.0000, 0.0000) (multiplicity 1)  6 Cr 2.23
Si (0.5000, 0.5000, 0.5000) (multiplicity 1)  12 Cr 3.15

**Total moment**: 9.69 Bohr magnetons per cell
**ΔE to the lowest computed polymorph**: 226.6 meV per atom
**E_form (uncorrected)**: 1.3400 eV per atom

No. 8
Compound: TbSm5Ho6
Source: the Alexandria database
Functional: PBE
Structure: optimized geometry

a = 5.8691 Å, b = 7.4429 Å, c = 17.8235 Å
α = 90.00°, β = 90.00°, γ = 90.00°
Last column: nearest neighbours and their distance in Å.
Space group Immm (No. 71)
Symmetry-distinct sites (fractional):
Tb (0.0000, 0.0000, 0.0000) (multiplicity 2)  8 Ho 3.36-3.47, 2 Sm 3.72
Sm (0.0000, 0.0000, 0.3249) (multiplicity 4)  8 Ho 3.50-3.64, 2 Sm 3.72
Sm (0.0000, 0.5000, 0.0000) (multiplicity 2)  8 Ho 3.37-3.48, 2 Tb 3.72
Sm (0.0000, 0.5000, 0.3240) (multiplicity 4)  8 Ho 3.48-3.64, 2 Sm 3.72
Ho (0.0000, 0.2483, 0.1574) (multiplicity 8)  1 Tb 3.36, 7 Sm 3.37-3.51, 2 Ho 3.70-3.75
Ho (0.0000, 0.2521, 0.5000) (multiplicity 4)  2 Tb 3.47, 6 Sm 3.48-3.64, 2 Ho 3.69-3.75

**Total moment**: 0.00 Bohr magnetons per cell
**Formation enthalpy at 0 K**: 2.6 kcal/mol of atoms

No. 9
Compound: BeNb2Rh6
Source: the Alexandria database
Functional: PBE
Structure: optimized geometry

a = 12.0737 Å, b = 6.2088 Å, c = 4.1781 Å
α = 90.00°, β = 110.23°, γ = 90.00°
Last column: nearest neighbours and their distance in Å.
Space group C2/m (No. 12)
Symmetry-distinct sites (fractional):
Be (0.0000, 0.0000, 0.0000) (multiplicity 2)  8 Rh 2.36-2.44
Nb (0.1502, 0.5000, 0.6481) (multiplicity 4)  8 Rh 2.50-2.64
Rh (0.0000, 0.2044, 0.5000) (multiplicity 4)  2 Be 2.44, 2 Nb 2.50, 1 Rh 2.54
Rh (0.1609, 0.2409, 0.1598) (multiplicity 8)  1 Be 2.36, 2 Nb 2.61-2.64

**Total moment**: 0.00 Bohr magnetons per cell
**Formation enthalpy at 0 K**: -2.6 kcal/mol of atoms